# 1
Here is a geometry-optimized Pm6ErGe4 structure from Alexandria. Energies are from PBE.

Geometry as POSCAR:
```
Pm6ErGe4
1.0
4.063 0.000 0.000
0.000 9.315 0.000
0.000 -4.657 8.067
Pm Er Ge
6 1 4
direct
0.000 0.542 0.083
0.500 0.609 0.805
0.000 0.542 0.458
0.000 0.917 0.458
0.500 0.195 0.805
0.500 0.195 0.391
0.000 0.000 0.000
0.500 0.839 0.677
0.500 0.323 0.161
0.500 0.839 0.161
0.000 0.333 0.667
```

---

# 2
Here is a geometry-optimized Ta2Fe3Os structure from Alexandria. Energies are from PBE.

Geometry as POSCAR:
```
Ta2Fe3Os
1.0
4.281 -0.127 -2.245
-2.722 3.991 -0.209
-0.119 0.179 4.971
Ta Fe Os
2 3 1
direct
0.757 0.379 0.136
0.243 0.621 0.864
0.500 0.500 0.500
0.000 0.000 0.500
0.500 0.000 0.500
0.000 0.000 0.000
```

---

# 3
Here is a geometry-optimized Dy3U3Fe8 structure from Alexandria. Energies are from PBE.

Geometry as POSCAR:
```
Dy3U3Fe8
1.0
-3.944 -1.960 0.931
0.511 -7.195 -2.106
1.344 -4.901 6.257
Dy U Fe
3 3 8
direct
0.304 0.767 0.624
0.696 0.233 0.376
0.000 0.000 0.000
0.000 0.500 0.500
0.673 0.694 0.960
0.327 0.306 0.040
0.091 0.183 0.636
0.909 0.817 0.364
0.871 0.432 0.826
0.129 0.568 0.174
0.527 0.704 0.241
0.473 0.296 0.759
0.349 0.045 0.258
0.651 0.955 0.742
```

---

no.,total magnetic moment (Bohr magnetons per cell),formation energy (eV per atom)
1,0.0,-0.55
2,4.3,-0.20
3,0.0,-0.10